1.
This record from the Alexandria database describes crystalline TaSiRu2 at its relaxed geometry. The functional is PBE.

Cell lengths 2.976, 2.976, 6.445 Å; angles 90.00, 90.00, 90.00 degrees
Sites, in units of the cell vectors:
Ta (0.000, 0.000, 0.000)
Si (0.000, 0.000, 0.500)
Ru (0.500, 0.500, 0.280)
Ru (0.500, 0.500, 0.720)

Properties
DOS(E_F) (states/eV/f.u.): 3.1
SG: No. 123
Formation energy without anion corrections (kcal/mol of atoms): -12.00


2.
This record from the Alexandria database describes crystalline Ba2DyPuS6 at its relaxed geometry. The functional is PBE.

Cell lengths 7.201, 7.451, 12.590 Å; angles 90.00, 124.86, 90.00 degrees
Sites, in units of the cell vectors:
Ba (0.235, 0.059, 0.251)
Ba (0.235, 0.441, 0.751)
Ba (0.765, 0.559, 0.249)
Ba (0.765, 0.941, 0.749)
Dy (0.500, 0.000, 0.000)
Dy (0.500, 0.500, 0.500)
Pu (0.000, 0.000, 0.500)
Pu (0.000, 0.500, 0.000)
S (0.156, 0.211, 0.957)
S (0.156, 0.289, 0.457)
S (0.248, 0.701, 0.958)
S (0.248, 0.799, 0.458)
S (0.326, 0.018, 0.745)
S (0.326, 0.482, 0.245)
S (0.674, 0.518, 0.755)
S (0.674, 0.982, 0.255)
S (0.752, 0.201, 0.542)
S (0.752, 0.299, 0.042)
S (0.844, 0.711, 0.543)
S (0.844, 0.789, 0.043)

Properties
DOS(E_F) (states/eV/f.u.): 9.5
SG: No. 14
Formation energy without anion corrections (kcal/mol of atoms): -41.02


3.
This record from the Alexandria database describes crystalline Ca2InN at its relaxed geometry. The functional is PBE.

Cell lengths 7.164, 7.164, 7.164 Å; angles 90.00, 90.00, 90.00 degrees
Sites, in units of the cell vectors:
Ca (0.250, 0.250, 0.250)
Ca (0.250, 0.250, 0.750)
Ca (0.250, 0.750, 0.250)
Ca (0.250, 0.750, 0.750)
Ca (0.750, 0.250, 0.250)
Ca (0.750, 0.250, 0.750)
Ca (0.750, 0.750, 0.250)
Ca (0.750, 0.750, 0.750)
In (0.000, 0.000, 0.000)
In (0.000, 0.500, 0.500)
In (0.500, 0.000, 0.500)
In (0.500, 0.500, 0.000)
N (0.000, 0.000, 0.500)
N (0.000, 0.500, 0.000)
N (0.500, 0.000, 0.000)
N (0.500, 0.500, 0.500)

Properties
DOS(E_F) (states/eV/f.u.): 4.1
SG: No. 225
Formation energy without anion corrections (kcal/mol of atoms): 8.10


4.
This record from the Alexandria database describes crystalline Ga2Cu5Ni at its relaxed geometry. The functional is PBE.

Cell lengths 5.199, 10.417, 3.669 Å; angles 90.00, 90.00, 90.00 degrees
Sites, in units of the cell vectors:
Ga (0.232, 0.119, 0.000)
Ga (0.268, 0.619, 0.000)
Ga (0.732, 0.381, 0.000)
Ga (0.768, 0.881, 0.000)
Cu (0.000, 0.500, 0.500)
Cu (0.015, 0.748, 0.500)
Cu (0.240, 0.372, 0.000)
Cu (0.260, 0.872, 0.000)
Cu (0.485, 0.248, 0.500)
Cu (0.500, 0.000, 0.500)
Cu (0.515, 0.752, 0.500)
Cu (0.740, 0.128, 0.000)
Cu (0.760, 0.628, 0.000)
Cu (0.985, 0.252, 0.500)
Ni (0.000, 0.000, 0.500)
Ni (0.500, 0.500, 0.500)

Properties
DOS(E_F) (states/eV/f.u.): 3.6
SG: No. 55
Raw total energy (Ry per atom): -0.307


5.
This record from the Alexandria database describes crystalline NaAgSe3 at its relaxed geometry. The functional is PBE.

Cell lengths 5.137, 5.137, 5.137 Å; angles 90.00, 90.00, 90.00 degrees
Sites, in units of the cell vectors:
Na (0.000, 0.000, 0.000)
Ag (0.500, 0.500, 0.500)
Se (0.000, 0.000, 0.500)
Se (0.000, 0.500, 0.000)
Se (0.500, 0.000, 0.000)

Properties
DOS(E_F) (states/eV/f.u.): 8.2
SG: No. 221
Formation energy without anion corrections (kcal/mol of atoms): 15.70


6.
This record from the Alexandria database describes crystalline Tm12ScTl3 at its relaxed geometry. The functional is PBE.

Cell lengths 4.787, 4.787, 19.430 Å; angles 90.00, 90.00, 90.00 degrees
Sites, in units of the cell vectors:
Tm (0.000, 0.000, 0.000)
Tm (0.000, 0.000, 0.248)
Tm (0.000, 0.000, 0.500)
Tm (0.000, 0.000, 0.752)
Tm (0.000, 0.500, 0.124)
Tm (0.000, 0.500, 0.374)
Tm (0.000, 0.500, 0.626)
Tm (0.000, 0.500, 0.876)
Tm (0.500, 0.000, 0.124)
Tm (0.500, 0.000, 0.374)
Tm (0.500, 0.000, 0.626)
Tm (0.500, 0.000, 0.876)
Sc (0.500, 0.500, 0.500)
Tl (0.500, 0.500, 0.000)
Tl (0.500, 0.500, 0.246)
Tl (0.500, 0.500, 0.754)

Properties
DOS(E_F) (states/eV/f.u.): 19.4
SG: No. 123
Raw total energy (Ry per atom): -0.317


7.
This record from the Alexandria database describes crystalline CaPrTlAg at its relaxed geometry. The functional is PBE.

Cell lengths 7.652, 7.652, 7.652 Å; angles 90.00, 90.00, 90.00 degrees
Sites, in units of the cell vectors:
Ca (0.000, 0.000, 0.000)
Ca (0.000, 0.500, 0.500)
Ca (0.500, 0.000, 0.500)
Ca (0.500, 0.500, 0.000)
Pr (0.000, 0.000, 0.500)
Pr (0.000, 0.500, 0.000)
Pr (0.500, 0.000, 0.000)
Pr (0.500, 0.500, 0.500)
Tl (0.250, 0.250, 0.250)
Tl (0.250, 0.750, 0.750)
Tl (0.750, 0.250, 0.750)
Tl (0.750, 0.750, 0.250)
Ag (0.250, 0.250, 0.750)
Ag (0.250, 0.750, 0.250)
Ag (0.750, 0.250, 0.250)
Ag (0.750, 0.750, 0.750)

Properties
DOS(E_F) (states/eV/f.u.): 2.9
SG: No. 216
Raw total energy (Ry per atom): -0.248


8.
This record from the Alexandria database describes crystalline In2AuCl at its relaxed geometry. The functional is PBE.

Cell lengths 4.103, 4.103, 22.683 Å; angles 90.00, 90.00, 120.00 degrees
Sites, in units of the cell vectors:
In (0.000, 0.000, 0.000)
In (0.000, 0.000, 0.237)
In (0.333, 0.667, 0.667)
In (0.333, 0.667, 0.904)
In (0.667, 0.333, 0.333)
In (0.667, 0.333, 0.570)
Au (0.000, 0.000, 0.730)
Au (0.333, 0.667, 0.397)
Au (0.667, 0.333, 0.064)
Cl (0.000, 0.000, 0.495)
Cl (0.333, 0.667, 0.161)
Cl (0.667, 0.333, 0.828)

Properties
DOS(E_F) (states/eV/f.u.): 1.5
SG: No. 160
Formation energy without anion corrections (kcal/mol of atoms): -5.32


9.
This record from the Alexandria database describes crystalline Zn2CuW at its relaxed geometry. The functional is PBE.

Cell lengths 2.631, 4.310, 5.095 Å; angles 90.00, 97.50, 90.00 degrees
Sites, in units of the cell vectors:
Zn (0.000, 0.000, 0.000)
Zn (0.104, 0.500, 0.733)
Cu (0.824, 0.500, 0.244)
W (0.490, 0.000, 0.493)

Properties
DOS(E_F) (states/eV/f.u.): 2.2
SG: No. 6
Raw total energy (Ry per atom): -0.342


10.
This record from the Alexandria database describes crystalline Ti2NbTc at its relaxed geometry. The functional is PBE.

Cell lengths 4.478, 4.478, 3.222 Å; angles 90.00, 90.00, 90.00 degrees
Sites, in units of the cell vectors:
Ti (0.000, 0.500, 0.000)
Ti (0.500, 0.000, 0.000)
Nb (0.000, 0.000, 0.500)
Tc (0.500, 0.500, 0.500)

Properties
DOS(E_F) (states/eV/f.u.): 7.4
SG: No. 123
Raw total energy (Ry per atom): -0.678


11.
This record from the Alexandria database describes crystalline ReHgPd2 at its relaxed geometry. The functional is PBE.

Cell lengths 7.289, 7.289, 5.574 Å; angles 90.00, 90.00, 90.00 degrees
Sites, in units of the cell vectors:
Re (0.000, 0.000, 0.000)
Re (0.000, 0.500, 0.250)
Re (0.500, 0.000, 0.750)
Re (0.500, 0.500, 0.500)
Hg (0.000, 0.000, 0.500)
Hg (0.000, 0.500, 0.750)
Hg (0.500, 0.000, 0.250)
Hg (0.500, 0.500, 0.000)
Pd (0.222, 0.250, 0.125)
Pd (0.250, 0.722, 0.375)
Pd (0.250, 0.778, 0.875)
Pd (0.278, 0.250, 0.625)
Pd (0.722, 0.750, 0.625)
Pd (0.750, 0.222, 0.875)
Pd (0.750, 0.278, 0.375)
Pd (0.778, 0.750, 0.125)

Properties
DOS(E_F) (states/eV/f.u.): 4.6
SG: No. 122
Raw total energy (Ry per atom): -0.367


12.
This record from the Alexandria database describes crystalline ThAgHgAu at its relaxed geometry. The functional is PBE.

Cell lengths 7.151, 7.151, 7.151 Å; angles 90.00, 90.00, 90.00 degrees
Sites, in units of the cell vectors:
Th (0.000, 0.000, 0.000)
Th (0.000, 0.500, 0.500)
Th (0.500, 0.000, 0.500)
Th (0.500, 0.500, 0.000)
Ag (0.250, 0.250, 0.250)
Ag (0.250, 0.750, 0.750)
Ag (0.750, 0.250, 0.750)
Ag (0.750, 0.750, 0.250)
Hg (0.000, 0.000, 0.500)
Hg (0.000, 0.500, 0.000)
Hg (0.500, 0.000, 0.000)
Hg (0.500, 0.500, 0.500)
Au (0.250, 0.250, 0.750)
Au (0.250, 0.750, 0.250)
Au (0.750, 0.250, 0.250)
Au (0.750, 0.750, 0.750)

Properties
DOS(E_F) (states/eV/f.u.): 4.1
SG: No. 216
Raw total energy (Ry per atom): -0.279